(1)
15
Lattice="7.6768 0.0000 0.0000 3.8384 6.6484 0.0000 3.8384 2.2161 5.2220" Properties=species:S:1:pos:R:3 comment="Ti8Ga6Sn PBE relaxed" space_group="No. 148" formation_energy_ev_per_atom=-0.23 vol_a3_per_atom=17.768 dos_ef_per_ev_atom=0.68 pbc="T T T"
Ti 6.6561 1.7069 1.8358
Ti 9.5267 2.1856 3.3862
Ti 4.8062 3.9535 3.3862
Ti 11.5152 6.6484 3.9921
Ti 3.8384 2.2161 1.2299
Ti 10.5474 4.9110 1.8358
Ti 5.8269 6.6789 1.8358
Ti 8.6975 7.1576 3.3862
Ga 6.9081 2.6482 4.2957
Ga 8.8375 2.8745 0.9263
Ga 5.7474 4.2060 0.9263
Ga 9.6062 4.6585 4.2957
Ga 6.5162 5.9900 4.2957
Ga 8.4456 6.2163 0.9263
Sn 0.0000 0.0000 0.0000

***

(2)
5
Lattice="5.0655 0.0000 0.0000 0.0000 5.0655 0.0000 0.0000 0.0000 4.6277" Properties=species:S:1:pos:R:3 comment="KAsN2O PBE relaxed" space_group="No. 123" formation_energy_uncorrected_ev_per_atom=2.401 vol_a3_per_atom=23.749 dos_ef_per_ev_atom=0.54 pbc="T T T"
As 2.5328 2.5328 2.3138
K 0.0000 0.0000 0.0000
O 0.0000 0.0000 2.3138
N 0.0000 2.5328 0.0000
N 2.5328 0.0000 0.0000

***

(3)
8
Lattice="4.1821 0.0000 0.0000 0.0000 4.1821 0.0000 2.0910 2.0910 17.1000" Properties=species:S:1:pos:R:3 comment="NaTe2Cl PBE relaxed" space_group="No. 122" formation_energy_uncorrected_ev_per_atom=-0.710 e_above_lowest_polymorph_kcal_per_mol_atoms=0.00 vol_a3_per_atom=37.385 dos_ef_per_ev_atom=0.31 pbc="T T T"
Na 2.0910 2.0910 0.0000
Na 2.0910 4.1821 8.5500
Te 3.1375 1.0455 4.2750
Te 1.0446 3.1366 4.2750
Te 3.1366 3.1356 12.8250
Te 5.2276 5.2286 12.8250
Cl 0.0000 0.0000 0.0000
Cl 4.1821 2.0910 8.5500